Compound: Ac3MoBr2O6
Source: the Alexandria database
Functional: PBE with a Hubbard U
Structure: relaxed

Calculated values
E ... -79.17 eV/cell
Magnetization ... 1.0 μB per cell

Cell lengths 6.040, 7.024, 7.095 Å; angles 119.67, 81.82, 90.00 degrees
Each line ends with the local moment (μB).
Element x y z (fractional)
Ac  0.500  0.000  0.500  0.00
Ac  0.000  0.500  0.000  0.00
Ac  0.500  0.500  0.500  0.00
Br  0.094  0.731  0.463  0.00
Br  0.906  0.269  0.537  0.00
O  0.312  0.710  0.884  0.01
O  0.653  0.850  0.700  -0.03
O  0.688  0.290  0.116  0.01
O  0.312  0.174  0.884  0.01
O  0.347  0.150  0.300  -0.03
O  0.688  0.826  0.116  0.01
Mo  0.500  0.000  0.000  0.98